# Cd2NF

Cd2NF after structural relaxation (PBE-GGA, the Alexandria database).

Properties
density	7.96	g cm⁻³
total moment	0.00	μB/atom
total energy	-50.77	eV/cell
E_form (uncorrected)	-0.167	eV per atom

Cell: 5.992 5.992 5.992 Å, 90.00 90.00 90.00°
Space group Fm-3m (No. 225)
Inequivalent atoms, fractional coordinates:
Cd 0.250 0.250 0.250 (multiplicity 8)
N 0.000 0.000 0.000 (multiplicity 4)
F 0.000 0.000 0.500 (multiplicity 4)

# ScCoRu2

ScCoRu2 after structural relaxation (PBE-GGA, the Alexandria database).

Properties
ΔH_f (0 K)	-0.07	eV per atom
density	8.82	g cm⁻³
total moment	0.50	μB/atom
total energy	-32.26	eV/cell
energy relative to the lowest polymorph listed for this composition	0.000	eV per atom

Cell: 4.284 4.284 3.139 Å, 90.00 90.00 90.00°
Space group P4/mmm (No. 123)
Inequivalent atoms, fractional coordinates:
Sc 0.000 0.000 0.000 (multiplicity 1)
Co 0.500 0.500 0.000 (multiplicity 1)
Ru 0.000 0.500 0.500 (multiplicity 2)

# Ho8Bi2B

Ho8Bi2B after structural relaxation (PBE-GGA, the Alexandria database).

Properties
ΔH_f (0 K)	-0.27	eV per atom
density	9.16	g cm⁻³
total moment	0.09	μB/atom
total energy	-108.00	eV/cell

Cell: 18.619 4.154 8.230 Å, 90.00 95.14 90.00°
Space group C2/m (No. 12)
Inequivalent atoms, fractional coordinates:
Ho 0.006 0.000 0.202 (multiplicity 4)
Ho 0.092 0.500 0.527 (multiplicity 4)
Ho 0.136 0.500 0.035 (multiplicity 4)
Ho 0.207 0.000 0.358 (multiplicity 4)
Bi 0.180 0.000 0.769 (multiplicity 4)
B 0.000 0.500 0.000 (multiplicity 2)

# CeEr7Tm12

CeEr7Tm12 after structural relaxation (PBE-GGA, the Alexandria database).

Properties
ΔH_f (0 K)	0.76	eV per atom
density	7.91	g cm⁻³
total moment	0.07	μB/atom
total energy	-152.56	eV/cell
energy relative to the lowest polymorph listed for this composition	0.502	eV per atom

Cell: 11.190 11.190 11.190 Å, 90.00 90.00 90.00°
Space group Im-3 (No. 204)
Inequivalent atoms, fractional coordinates:
Ce 0.000 0.000 0.000 (multiplicity 2)
Er 0.000 0.000 0.500 (multiplicity 6)
Er 0.250 0.250 0.250 (multiplicity 8)
Tm 0.000 0.260 0.261 (multiplicity 24)

# AlP2PtO

AlP2PtO after structural relaxation (PBE-GGA, the Alexandria database).

Properties
density	6.43	g cm⁻³
total moment	0.00	μB/atom
total energy	-25.97	eV/cell
energy relative to the lowest polymorph listed for this composition	0.000	eV per atom
E_form (uncorrected)	-0.082	eV per atom

Cell: 4.834 4.834 3.314 Å, 90.00 90.00 90.00°
Space group P4/mmm (No. 123)
Inequivalent atoms, fractional coordinates:
Al 0.000 0.000 0.000 (multiplicity 1)
P 0.000 0.500 0.000 (multiplicity 2)
Pt 0.500 0.500 0.500 (multiplicity 1)
O 0.000 0.000 0.500 (multiplicity 1)

# FeHgOs

FeHgOs after structural relaxation (PBE-GGA, the Alexandria database).

Properties
ΔH_f (0 K)	0.47	eV per atom
density	15.92	g cm⁻³
total moment	0.51	μB/atom
total energy	-37.16	eV/cell
energy relative to the lowest polymorph listed for this composition	0.000	eV per atom

Cell: 2.826 2.826 11.663 Å, 90.00 90.00 90.00°
Space group I4mm (No. 107)
Inequivalent atoms, fractional coordinates:
Fe 0.000 0.000 0.000 (multiplicity 2)
Hg 0.000 0.000 0.320 (multiplicity 2)
Os 0.000 0.000 0.623 (multiplicity 2)

# Cd2CuCl

Cd2CuCl after structural relaxation (PBE-GGA, the Alexandria database).

Properties
density	5.16	g cm⁻³
total moment	0.00	μB/atom
total energy	-8.04	eV/cell
energy relative to the lowest polymorph listed for this composition	0.120	eV per atom
E_form (uncorrected)	-0.067	eV per atom

Cell: 3.680 3.680 7.694 Å, 90.00 90.00 90.00°
Space group P4mm (No. 99)
Inequivalent atoms, fractional coordinates:
Cd 0.000 0.000 0.000 (multiplicity 1)
Cd 0.500 0.500 0.367 (multiplicity 1)
Cu 0.500 0.500 0.033 (multiplicity 1)
Cl 0.000 0.000 0.527 (multiplicity 1)

# BaTi2Be2

BaTi2Be2 after structural relaxation (PBE-GGA, the Alexandria database).

Properties
ΔH_f (0 K)	0.61	eV per atom
density	3.91	g cm⁻³
total moment	0.00	μB/atom
total energy	-44.24	eV/cell
energy relative to the lowest polymorph listed for this composition	0.129	eV per atom

Cell: 4.352 4.352 11.267 Å, 90.00 90.00 90.00°
Space group I4/mmm (No. 139)
Inequivalent atoms, fractional coordinates:
Ba 0.000 0.000 0.000 (multiplicity 2)
Ti 0.000 0.000 0.333 (multiplicity 4)
Be 0.000 0.500 0.250 (multiplicity 4)

# Rb2Cu2H

Rb2Cu2H after structural relaxation (PBE-GGA, the Alexandria database).

Properties
density	4.21	g cm⁻³
total moment	0.00	μB/atom
total energy	-24.90	eV/cell
energy relative to the lowest polymorph listed for this composition	0.000	eV per atom

Cell: 3.520 3.520 19.036 Å, 90.00 90.00 90.00°
Space group I4/mmm (No. 139)
Inequivalent atoms, fractional coordinates:
Rb 0.000 0.000 0.093 (multiplicity 4)
Cu 0.000 0.500 0.250 (multiplicity 4)
H 0.000 0.000 0.500 (multiplicity 2)

# NpGaCuRu

NpGaCuRu after structural relaxation (PBE-GGA, the Alexandria database).

Properties
ΔH_f (0 K)	0.05	eV per atom
density	11.55	g cm⁻³
total moment	0.81	μB/atom
total energy	-116.48	eV/cell

Cell: 6.473 6.473 6.473 Å, 90.00 90.00 90.00°
Space group F-43m (No. 216)
Inequivalent atoms, fractional coordinates:
Np 0.000 0.000 0.000 (multiplicity 4)
Ga 0.000 0.000 0.500 (multiplicity 4)
Cu 0.250 0.250 0.250 (multiplicity 4)
Ru 0.250 0.250 0.750 (multiplicity 4)

# NbFeCoSi

NbFeCoSi after structural relaxation (PBE-GGA, the Alexandria database).

Properties
density	7.71	g cm⁻³
total moment	0.49	μB/atom
total energy	-130.23	eV/cell
E_form (uncorrected)	-0.374	eV per atom

Cell: 5.878 5.878 5.878 Å, 90.00 90.00 90.00°
Space group F-43m (No. 216)
Inequivalent atoms, fractional coordinates:
Nb 0.000 0.000 0.000 (multiplicity 4)
Fe 0.250 0.250 0.750 (multiplicity 4)
Co 0.250 0.250 0.250 (multiplicity 4)
Si 0.000 0.000 0.500 (multiplicity 4)

# MoIrRu2

MoIrRu2 after structural relaxation (PBE-GGA, the Alexandria database).

Properties
ΔH_f (0 K)	-0.01	eV per atom
density	14.00	g cm⁻³
total moment	0.00	μB/atom
total energy	-38.30	eV/cell
energy relative to the lowest polymorph listed for this composition	0.152	eV per atom

Cell: 2.731 3.861 5.517 Å, 90.00 90.00 90.00°
Space group Pmmm (No. 47)
Inequivalent atoms, fractional coordinates:
Mo 0.000 0.000 0.000 (multiplicity 1)
Ir 0.000 0.000 0.500 (multiplicity 1)
Ru 0.500 0.500 0.255 (multiplicity 2)

- Which value of total energy does entry 4 give?
  -152.56 eV/cell

What did the sixth record say?
# FeHgOs

FeHgOs after structural relaxation (PBE-GGA, the Alexandria database).

Properties
ΔH_f (0 K)	0.47	eV per atom
density	15.92	g cm⁻³
total moment	0.51	μB/atom
total energy	-37.16	eV/cell
energy relative to the lowest polymorph listed for this composition	0.000	eV per atom

Cell: 2.826 2.826 11.663 Å, 90.00 90.00 90.00°
Space group I4mm (No. 107)
Inequivalent atoms, fractional coordinates:
Fe 0.000 0.000 0.000 (multiplicity 2)
Hg 0.000 0.000 0.320 (multiplicity 2)
Os 0.000 0.000 0.623 (multiplicity 2)